a | ! Hg2IrW PBE optimized geometry; values from VASP
&SYSTEM
  ibrav = 0, nat = 4, ntyp = 3
/
ATOMIC_SPECIES
Hg 200.59 Hg.upf
Ir 192.22 Ir.upf
W 183.84 W.upf
ATOMIC_POSITIONS angstrom
Hg 0.000 0.000 0.004
Hg 0.000 0.000 2.789
Ir 1.468 2.186 1.397
W 1.468 2.186 4.191
CELL_PARAMETERS angstrom
2.936 0.000 0.000
0.000 4.372 0.000
0.000 0.000 5.587
! theoretical density: 17.999 g/cm³

---

b | ! Hg2IrW PBE optimized geometry; values from VASP
&SYSTEM
  ibrav = 0, nat = 4, ntyp = 3
/
ATOMIC_SPECIES
Hg 200.59 Hg.upf
Ir 192.22 Ir.upf
W 183.84 W.upf
ATOMIC_POSITIONS angstrom
Hg -0.120 -0.279 0.307
Hg 0.022 -6.273 7.346
Ir 0.058 -3.939 4.620
W 0.036 -2.424 2.843
CELL_PARAMETERS angstrom
-2.316 -0.564 2.499
-2.018 -2.726 0.652
4.331 -5.320 6.926
! theoretical density: 15.633 g/cm³

---

Energetically preferred structure: b | next structure: +429 meV per atom

---

a | ! Hg2IrW PBE optimized geometry; values from VASP
&SYSTEM
  ibrav = 0, nat = 8, ntyp = 3
/
ATOMIC_SPECIES
Ir 192.22 Ir.upf
Hg 200.59 Hg.upf
W 183.84 W.upf
ATOMIC_POSITIONS angstrom
Ir 0.000 0.000 0.000
Ir -2.202 -5.864 5.972
Hg -2.106 -3.495 4.562
Hg 0.500 -6.030 0.483
Hg -0.357 -7.104 4.337
Hg -1.717 -11.944 6.477
W -1.372 -4.763 2.159
W 0.362 -8.422 1.958
CELL_PARAMETERS angstrom
-3.936 -2.205 6.173
1.193 -7.321 -1.855
0.903 -4.760 3.611
! theoretical density: 16.361 g/cm³

---

b | ! Hg2IrW PBE optimized geometry; values from VASP
&SYSTEM
  ibrav = 0, nat = 4, ntyp = 3
/
ATOMIC_SPECIES
Hg 200.59 Hg.upf
Ir 192.22 Ir.upf
W 183.84 W.upf
ATOMIC_POSITIONS angstrom
Hg 0.000 0.000 0.000
Hg 1.628 -1.566 3.679
Ir 1.205 1.121 2.477
W -1.040 -0.690 2.700
CELL_PARAMETERS angstrom
-0.617 -3.377 3.902
3.873 0.246 3.457
-3.091 3.563 -2.182
! theoretical density: 17.859 g/cm³

---

c | ! Hg2IrW PBE optimized geometry; values from VASP
&SYSTEM
  ibrav = 0, nat = 4, ntyp = 3
/
ATOMIC_SPECIES
Hg 200.59 Hg.upf
Ir 192.22 Ir.upf
W 183.84 W.upf
ATOMIC_POSITIONS angstrom
Hg 0.000 0.000 0.000
Hg 0.000 1.986 1.986
Ir 2.296 1.986 0.000
W 2.296 0.000 1.986
CELL_PARAMETERS angstrom
4.593 0.000 0.000
0.000 3.972 0.000
0.000 0.000 3.972
! theoretical density: 17.811 g/cm³

---

Energetically preferred structure: c | next structure: +29 meV per atom

---

a | ! HgIrW3 PBE optimized geometry; values from VASP
&SYSTEM
  ibrav = 0, nat = 5, ntyp = 3
/
ATOMIC_SPECIES
Ir 192.22 Ir.upf
Hg 200.59 Hg.upf
W 183.84 W.upf
ATOMIC_POSITIONS angstrom
Ir 0.000 0.000 0.000
Hg 2.388 2.388 2.388
W 0.000 2.388 0.000
W 0.000 0.000 2.388
W 2.388 0.000 0.000
CELL_PARAMETERS angstrom
4.776 0.000 0.000
0.000 4.776 0.000
0.000 0.000 4.776
! theoretical density: 14.395 g/cm³

---

b | ! HgIrW3 PBE optimized geometry; values from VASP
&SYSTEM
  ibrav = 0, nat = 5, ntyp = 3
/
ATOMIC_SPECIES
Ir 192.22 Ir.upf
Hg 200.59 Hg.upf
W 183.84 W.upf
ATOMIC_POSITIONS angstrom
Ir -1.058 -3.526 -1.960
Hg 0.000 0.000 0.000
W -0.468 -0.196 -2.354
W 1.349 -1.992 -0.103
W -1.939 -1.339 0.497
CELL_PARAMETERS angstrom
-3.877 -2.678 0.994
-0.937 -0.391 -4.707
2.698 -3.983 -0.206
! theoretical density: 14.041 g/cm³

---

Energetically preferred structure: a | next structure: +1437 meV per atom

---

a | ! YHg2Ir2 PBE optimized geometry; values from VASP
&SYSTEM
  ibrav = 0, nat = 5, ntyp = 3
/
ATOMIC_SPECIES
Y 88.91 Y.upf
Ir 192.22 Ir.upf
Hg 200.59 Hg.upf
ATOMIC_POSITIONS angstrom
Y 0.000 0.000 0.000
Ir 2.101 2.101 1.202
Ir 4.202 4.202 4.905
Hg 4.202 2.101 3.054
Hg 2.101 4.202 3.054
CELL_PARAMETERS angstrom
4.202 0.000 0.000
0.000 4.202 0.000
2.101 2.101 6.107
! theoretical density: 13.467 g/cm³

---

b | ! YHg2Ir2 PBE optimized geometry; values from VASP
&SYSTEM
  ibrav = 0, nat = 10, ntyp = 3
/
ATOMIC_SPECIES
Y 88.91 Y.upf
Ir 192.22 Ir.upf
Hg 200.59 Hg.upf
ATOMIC_POSITIONS angstrom
Y 0.000 0.000 0.000
Y 3.600 3.600 0.000
Ir 2.682 6.282 0.000
Ir 6.282 4.517 0.000
Ir 4.517 0.917 0.000
Ir 0.917 2.682 0.000
Hg 1.226 4.826 1.972
Hg 4.826 5.974 1.972
Hg 5.974 2.374 1.972
Hg 2.374 1.226 1.972
CELL_PARAMETERS angstrom
7.200 0.000 0.000
0.000 7.200 0.000
0.000 0.000 3.944
! theoretical density: 14.205 g/cm³

---

Energetically preferred structure: a | next structure: +30 meV per atom

---

a | ! Y3HgIr PBE optimized geometry; values from VASP
&SYSTEM
  ibrav = 0, nat = 5, ntyp = 3
/
ATOMIC_SPECIES
Y 88.91 Y.upf
Ir 192.22 Ir.upf
Hg 200.59 Hg.upf
ATOMIC_POSITIONS angstrom
Y 0.000 2.689 0.000
Y 0.000 0.000 2.689
Y 2.689 0.000 0.000
Ir 0.000 0.000 0.000
Hg 2.689 2.689 2.689
CELL_PARAMETERS angstrom
5.379 0.000 0.000
0.000 5.379 0.000
0.000 0.000 5.379
! theoretical density: 7.037 g/cm³

---

b | ! Y3HgIr PBE optimized geometry; values from VASP
&SYSTEM
  ibrav = 0, nat = 10, ntyp = 3
/
ATOMIC_SPECIES
Y 88.91 Y.upf
Hg 200.59 Hg.upf
Ir 192.22 Ir.upf
ATOMIC_POSITIONS angstrom
Y 0.392 4.034 0.696
Y 0.070 0.483 5.932
Y 3.153 2.330 6.126
Y 0.335 0.425 2.329
Y 3.096 -1.278 7.758
Y 3.419 2.273 2.522
Hg 2.681 -0.183 4.306
Hg 0.807 2.939 4.148
Ir 3.351 3.862 0.124
Ir 0.137 -1.106 8.331
CELL_PARAMETERS angstrom
5.776 -0.268 0.525
-3.231 5.510 -0.535
0.943 -2.486 8.465
! theoretical density: 8.556 g/cm³

---

Energetically preferred structure: b | next structure: +248 meV per atom

---

a | ! YHg3Ir PBE optimized geometry; values from VASP
&SYSTEM
  ibrav = 0, nat = 5, ntyp = 3
/
ATOMIC_SPECIES
Y 88.91 Y.upf
Ir 192.22 Ir.upf
Hg 200.59 Hg.upf
ATOMIC_POSITIONS angstrom
Y 0.000 0.000 0.000
Ir 2.877 2.877 2.877
Hg 0.000 2.877 0.000
Hg 0.000 0.000 2.877
Hg 2.877 0.000 0.000
CELL_PARAMETERS angstrom
5.754 0.000 0.000
0.000 5.754 0.000
0.000 0.000 5.754
! theoretical density: 7.695 g/cm³

---

b | ! YHg3Ir PBE optimized geometry; values from VASP
&SYSTEM
  ibrav = 0, nat = 5, ntyp = 3
/
ATOMIC_SPECIES
Y 88.91 Y.upf
Ir 192.22 Ir.upf
Hg 200.59 Hg.upf
ATOMIC_POSITIONS angstrom
Y 2.582 2.582 2.582
Ir 0.000 0.000 0.000
Hg 0.000 2.582 0.000
Hg 0.000 0.000 2.582
Hg 2.582 0.000 0.000
CELL_PARAMETERS angstrom
5.165 0.000 0.000
0.000 5.165 0.000
0.000 0.000 5.165
! theoretical density: 10.642 g/cm³

---

Energetically preferred structure: b | next structure: +1096 meV per atom